LiGaPb2I6, relaxed, DFT PBE; ΔE_f (raw) = -665 meV per atom
1.0
4.003 2.311 7.369
-4.003 2.311 7.369
0.000 -4.623 7.369
Li Ga Pb I
1 1 2 6
Cartesian
0.000 0.000 0.000
0.000 0.000 11.178
0.000 0.000 7.097
0.000 0.000 18.033
-1.148 -2.341 9.059
-2.761 -0.243 12.873
-1.454 2.164 9.059
1.591 -2.270 12.873
2.601 0.177 9.059
1.170 2.513 12.873